SbBr2O: relaxed, GGA-PBE.

Cell lengths 4.910, 4.910, 4.910 Å; angles 60.00, 60.00, 60.00 degrees
Positions (direct):
Sb 0.000 0.000 0.000
Br 0.250 0.250 0.250
Br 0.750 0.750 0.750
O 0.500 0.500 0.500

Properties
* magnetic moment: 1.00 μB/f.u.
* E_form (uncorrected): 1.4 eV per formula unit
* polymorph energy (0 for the lowest one): 0.872 eV/atom
* space group: No. 225
* uncorrected energy: -2.756 eV/atom
* DOS at the Fermi energy: 4.29 states/eV/f.u.

=====

CrMo4Ru: relaxed, GGA-PBE.

Cell lengths 5.156, 5.156, 5.156 Å; angles 60.00, 60.00, 60.00 degrees
Positions (direct):
Cr 0.000 0.000 0.000
Mo 0.123 0.626 0.626
Mo 0.626 0.123 0.626
Mo 0.626 0.626 0.123
Mo 0.626 0.626 0.626
Ru 0.250 0.250 0.250

Properties
* magnetic moment: 2.86 μB/f.u.
* energy of formation from the pure elements: 0.446 eV per atom
* space group: No. 216
* uncorrected energy: -9.924 eV/atom
* DOS at the Fermi energy: 7.14 states/eV/f.u.